Crystalline Sn2RuWF at its relaxed geometry. Source: Alexandria, functional PBE with a Hubbard U.

Summary:
The value obtained for the volume is 27.96 A^3/atom. Its total DFT energy (no corrections) is -5.090 eV/atom. The density of states at the Fermi level is 1.69 states/eV/cell.

Unit cell a=5.1518 b=5.1518 c=5.2674 alpha=90.00 beta=90.00 gamma=90.00
With the nearest neighbours (Å) after each atom.
Space group P4/mmm (No. 123)
Asymmetric unit:
Sn1 0.0000 0.5000 0.0000 (multiplicity 2)  2 Ru 2.58
Ru1 0.0000 0.0000 0.0000 (multiplicity 1)  4 Sn 2.58, 2 W 2.63
W1 0.0000 0.0000 0.5000 (multiplicity 1)  2 Ru 2.63
F1 0.5000 0.5000 0.5000 (multiplicity 1)  4 W 3.64, 8 Sn 3.68